DFT (PBE) results for a relaxed structure of Er2Be7Au12.

Summary:
Its formation enthalpy at 0 K is -318 meV per atom. As for the volume: 15.97 A^3/atom. The density comes out at 13673 kg/m3. For the spin magnetization, the calculation gives 0.0 μB per formula unit. The calculation puts the density of states at the Fermi level at 5.0 states/eV/f.u.

The structure in CIF format:
```
data_Er2Be7Au12
_chemical_formula_sum 'Er2 Be7 Au12'
_symmetry_space_group_name_H-M 'P -3'
_symmetry_Int_Tables_number 147
_symmetry_space_group_name_Hall '-P 3'
_cell_length_a 9.9206
_cell_length_b 9.9206
_cell_length_c 3.9344
_cell_angle_alpha 90.00
_cell_angle_beta 90.00
_cell_angle_gamma 120.00
loop_
_atom_site_label
_atom_site_type_symbol
_atom_site_fract_x
_atom_site_fract_y
_atom_site_fract_z
Er1 Er 0.3333 0.6667 0.2524
Be1 Be 0.0000 0.0000 0.0000
Be2 Be 0.1128 0.4004 0.7526
Au1 Au 0.0818 0.6215 0.7494
Au2 Au 0.1200 0.8601 0.2518
```